Record 1
Crystalline VCoNi2 at its relaxed geometry, computed with PBE.

Computed properties:
Energy of formation ... 0.831 eV/atom
SG ... P-6m2
Total moment ... 1.088 μB/atom
DFT total energy ... -24.464 eV per cell

Unit cell a=4.0627 b=4.0627 c=4.3815 alpha=90.00 beta=90.00 gamma=120.00
Positions (direct):
V  0.0000  0.0000  0.0000
Co  0.6667  0.3333  0.5000
Ni  0.0000  0.0000  0.5000
Ni  0.3333  0.6667  0.5000

=====

Record 2
Crystalline V2Co2Ni at its relaxed geometry, computed with PBE.

Computed properties:
Energy of formation ... -0.090 eV/atom
SG ... P4/mbm
Total moment ... 0.000 μB/atom
DFT total energy ... -77.364 eV per cell

Unit cell a=6.5703 b=6.5703 c=2.7579 alpha=90.00 beta=90.00 gamma=90.00
Positions (direct):
V  0.1709  0.3291  0.0000
V  0.3291  0.8291  0.0000
V  0.6709  0.1709  0.0000
V  0.8291  0.6709  0.0000
Co  0.1331  0.6331  0.5000
Co  0.3669  0.1331  0.5000
Co  0.6331  0.8669  0.5000
Co  0.8669  0.3669  0.5000
Ni  0.0000  0.0000  0.5000
Ni  0.5000  0.5000  0.5000